# 1
DFT (PBE-GGA) results for a relaxed Nd3AlRh3 crystal.

```
data_Nd3AlRh3
_chemical_formula_sum 'Nd6 Al2 Rh6'
_space_group_name_H-M_alt 'P 1'
_space_group_IT_number 1
_cell_length_a 5.771
_cell_length_b 5.771
_cell_length_c 14.065
_cell_angle_alpha 90.00
_cell_angle_beta 90.00
_cell_angle_gamma 138.39
loop_
_space_group_symop_operation_xyz
'x,y,z'
loop_
_atom_site_label
_atom_site_type_symbol
_atom_site_fract_x
_atom_site_fract_y
_atom_site_fract_z
Nd1 Nd 0.018 0.982 0.750
Nd2 Nd 0.294 0.706 0.607
Nd3 Nd 0.294 0.706 0.893
Nd4 Nd 0.706 0.294 0.107
Nd5 Nd 0.706 0.294 0.393
Nd6 Nd 0.982 0.018 0.250
Al1 Al 0.000 0.000 0.000
Al2 Al 0.000 0.000 0.500
Rh1 Rh 0.261 0.739 0.250
Rh2 Rh 0.423 0.577 0.087
Rh3 Rh 0.423 0.577 0.413
Rh4 Rh 0.577 0.423 0.587
Rh5 Rh 0.577 0.423 0.913
Rh6 Rh 0.739 0.261 0.750
```

## Properties
E_form = -769 meV per atom
SG = No. 63
V = 311.0 Å³/cell
M_tot = 0.00 μB per cell



# 2
DFT (PBE-GGA) results for a relaxed Ac2BiMo crystal.

```
data_Ac2BiMo
_chemical_formula_sum 'Ac2 Bi1 Mo1'
_space_group_name_H-M_alt 'P 1'
_space_group_IT_number 1
_cell_length_a 5.402
_cell_length_b 5.402
_cell_length_c 4.347
_cell_angle_alpha 90.00
_cell_angle_beta 90.00
_cell_angle_gamma 90.00
loop_
_space_group_symop_operation_xyz
'x,y,z'
loop_
_atom_site_label
_atom_site_type_symbol
_atom_site_fract_x
_atom_site_fract_y
_atom_site_fract_z
Ac1 Ac 0.000 0.500 0.000
Ac2 Ac 0.500 0.000 0.000
Bi1 Bi 0.000 0.000 0.500
Mo1 Mo 0.500 0.500 0.500
```

## Properties
E_form = 204 meV per atom
SG = No. 123
offset from the most stable computed form = 0.0 meV per atom
V = 126.9 Å³/cell
M_tot = 1.96 μB per cell



# 3
DFT (PBE-GGA) results for a relaxed Nd3Er12Tm crystal.

```
data_Nd3Er12Tm
_chemical_formula_sum 'Nd3 Er12 Tm1'
_space_group_name_H-M_alt 'P 1'
_space_group_IT_number 1
_cell_length_a 5.001
_cell_length_b 5.001
_cell_length_c 20.018
_cell_angle_alpha 90.00
_cell_angle_beta 90.00
_cell_angle_gamma 90.00
loop_
_space_group_symop_operation_xyz
'x,y,z'
loop_
_atom_site_label
_atom_site_type_symbol
_atom_site_fract_x
_atom_site_fract_y
_atom_site_fract_z
Nd1 Nd 0.000 0.000 0.000
Nd2 Nd 0.000 0.000 0.251
Nd3 Nd 0.000 0.000 0.749
Er1 Er 0.000 0.500 0.126
Er2 Er 0.000 0.500 0.377
Er3 Er 0.000 0.500 0.623
Er4 Er 0.000 0.500 0.874
Er5 Er 0.500 0.000 0.126
Er6 Er 0.500 0.000 0.377
Er7 Er 0.500 0.000 0.623
Er8 Er 0.500 0.000 0.874
Er9 Er 0.500 0.500 0.000
Er10 Er 0.500 0.500 0.252
Er11 Er 0.500 0.500 0.500
Er12 Er 0.500 0.500 0.748
Tm1 Tm 0.000 0.000 0.500
```

## Properties
E_form = 25 meV per atom
SG = No. 123
V = 500.7 Å³/cell
M_tot = 0.00 μB per cell



# 4
DFT (PBE-GGA) results for a relaxed ErZrTlOs crystal.

```
data_ErZrTlOs
_chemical_formula_sum 'Er1 Zr1 Tl1 Os1'
_space_group_name_H-M_alt 'P 1'
_space_group_IT_number 1
_cell_length_a 3.280
_cell_length_b 3.280
_cell_length_c 8.202
_cell_angle_alpha 90.00
_cell_angle_beta 90.00
_cell_angle_gamma 90.00
loop_
_space_group_symop_operation_xyz
'x,y,z'
loop_
_atom_site_label
_atom_site_type_symbol
_atom_site_fract_x
_atom_site_fract_y
_atom_site_fract_z
Er1 Er 0.000 0.000 0.000
Zr1 Zr 0.000 0.000 0.591
Tl1 Tl 0.500 0.500 0.305
Os1 Os 0.500 0.500 0.779
```

## Properties
E_form = -319 meV per atom
SG = No. 99
V = 88.3 Å³/cell
M_tot = 0.00 μB per cell



# 5
DFT (PBE-GGA) results for a relaxed Ta2InCo crystal.

```
data_Ta2InCo
_chemical_formula_sum 'Ta6 In3 Co3'
_space_group_name_H-M_alt 'P 1'
_space_group_IT_number 1
_cell_length_a 2.961
_cell_length_b 2.961
_cell_length_c 27.489
_cell_angle_alpha 90.00
_cell_angle_beta 90.00
_cell_angle_gamma 120.00
loop_
_space_group_symop_operation_xyz
'x,y,z'
loop_
_atom_site_label
_atom_site_type_symbol
_atom_site_fract_x
_atom_site_fract_y
_atom_site_fract_z
Ta1 Ta 0.000 0.000 0.240
Ta2 Ta 0.000 0.000 0.760
Ta3 Ta 0.333 0.667 0.426
Ta4 Ta 0.333 0.667 0.907
Ta5 Ta 0.667 0.333 0.093
Ta6 Ta 0.667 0.333 0.574
In1 In 0.000 0.000 0.000
In2 In 0.333 0.667 0.667
In3 In 0.667 0.333 0.333
Co1 Co 0.000 0.000 0.500
Co2 Co 0.333 0.667 0.167
Co3 Co 0.667 0.333 0.833
```

## Properties
E_form = 284 meV per atom
SG = No. 166
V = 208.8 Å³/cell
M_tot = 1.67 μB per cell



# 6
DFT (PBE-GGA) results for a relaxed V2HAu crystal.

```
data_V2HAu
_chemical_formula_sum 'V6 H3 Au3'
_space_group_name_H-M_alt 'P 1'
_space_group_IT_number 1
_cell_length_a 2.720
_cell_length_b 2.720
_cell_length_c 23.506
_cell_angle_alpha 90.00
_cell_angle_beta 90.00
_cell_angle_gamma 120.00
loop_
_space_group_symop_operation_xyz
'x,y,z'
loop_
_atom_site_label
_atom_site_type_symbol
_atom_site_fract_x
_atom_site_fract_y
_atom_site_fract_z
V1 V 0.000 0.000 0.116
V2 V 0.000 0.000 0.884
V3 V 0.333 0.667 0.551
V4 V 0.333 0.667 0.782
V5 V 0.667 0.333 0.218
V6 V 0.667 0.333 0.449
H1 H 0.000 0.000 0.500
H2 H 0.333 0.667 0.167
H3 H 0.667 0.333 0.833
Au1 Au 0.000 0.000 0.000
Au2 Au 0.333 0.667 0.667
Au3 Au 0.667 0.333 0.333
```

## Properties
SG = No. 166
offset from the most stable computed form = 239.2 meV per atom
V = 150.6 Å³/cell
M_tot = 0.00 μB per cell



# 7
DFT (PBE-GGA) results for a relaxed Sc2Si2Ni crystal.

```
data_Sc2Si2Ni
_chemical_formula_sum 'Sc4 Si4 Ni2'
_space_group_name_H-M_alt 'P 1'
_space_group_IT_number 1
_cell_length_a 4.180
_cell_length_b 4.180
_cell_length_c 11.159
_cell_angle_alpha 90.00
_cell_angle_beta 90.00
_cell_angle_gamma 90.00
loop_
_space_group_symop_operation_xyz
'x,y,z'
loop_
_atom_site_label
_atom_site_type_symbol
_atom_site_fract_x
_atom_site_fract_y
_atom_site_fract_z
Sc1 Sc 0.000 0.500 0.250
Sc2 Sc 0.000 0.500 0.750
Sc3 Sc 0.500 0.000 0.250
Sc4 Sc 0.500 0.000 0.750
Si1 Si 0.000 0.000 0.098
Si2 Si 0.000 0.000 0.902
Si3 Si 0.500 0.500 0.402
Si4 Si 0.500 0.500 0.598
Ni1 Ni 0.000 0.000 0.500
Ni2 Ni 0.500 0.500 0.000
```

## Properties
ΔE_f (raw) = 0.234 eV per atom
SG = No. 139
V = 195.0 Å³/cell
M_tot = 1.78 μB per cell



# 8
DFT (PBE-GGA) results for a relaxed TeAuSN2 crystal.

```
data_TeAuSN2
_chemical_formula_sum 'Te1 Au1 S1 N2'
_space_group_name_H-M_alt 'P 1'
_space_group_IT_number 1
_cell_length_a 3.948
_cell_length_b 3.948
_cell_length_c 7.444
_cell_angle_alpha 90.00
_cell_angle_beta 90.00
_cell_angle_gamma 90.00
loop_
_space_group_symop_operation_xyz
'x,y,z'
loop_
_atom_site_label
_atom_site_type_symbol
_atom_site_fract_x
_atom_site_fract_y
_atom_site_fract_z
Te1 Te 0.000 0.000 0.000
Au1 Au 0.000 0.000 0.500
S1 S 0.500 0.500 0.000
N1 N 0.000 0.500 0.500
N2 N 0.500 0.000 0.500
```

## Properties
ΔE_f (raw) = 1.628 eV per atom
SG = No. 123
offset from the most stable computed form = 178.4 meV per atom
V = 116.0 Å³/cell
M_tot = 3.50 μB per cell



# 9
DFT (PBE-GGA) results for a relaxed BaNdGe2 crystal.

```
data_BaNdGe2
_chemical_formula_sum 'Ba3 Nd3 Ge6'
_space_group_name_H-M_alt 'P 1'
_space_group_IT_number 1
_cell_length_a 4.876
_cell_length_b 4.876
_cell_length_c 19.041
_cell_angle_alpha 90.00
_cell_angle_beta 90.00
_cell_angle_gamma 120.00
loop_
_space_group_symop_operation_xyz
'x,y,z'
loop_
_atom_site_label
_atom_site_type_symbol
_atom_site_fract_x
_atom_site_fract_y
_atom_site_fract_z
Ba1 Ba 0.000 0.000 0.000
Ba2 Ba 0.333 0.667 0.667
Ba3 Ba 0.667 0.333 0.333
Nd1 Nd 0.000 0.000 0.500
Nd2 Nd 0.333 0.667 0.167
Nd3 Nd 0.667 0.333 0.833
Ge1 Ge 0.000 0.000 0.225
Ge2 Ge 0.000 0.000 0.775
Ge3 Ge 0.333 0.667 0.442
Ge4 Ge 0.333 0.667 0.891
Ge5 Ge 0.667 0.333 0.109
Ge6 Ge 0.667 0.333 0.558
```

## Properties
E_form = -402 meV per atom
SG = No. 166
V = 392.1 Å³/cell
M_tot = 0.00 μB per cell



# 10
DFT (PBE-GGA) results for a relaxed V3InW crystal.

```
data_V3InW
_chemical_formula_sum 'V3 In1 W1'
_space_group_name_H-M_alt 'P 1'
_space_group_IT_number 1
_cell_length_a 4.621
_cell_length_b 4.621
_cell_length_c 4.621
_cell_angle_alpha 90.00
_cell_angle_beta 90.00
_cell_angle_gamma 90.00
loop_
_space_group_symop_operation_xyz
'x,y,z'
loop_
_atom_site_label
_atom_site_type_symbol
_atom_site_fract_x
_atom_site_fract_y
_atom_site_fract_z
V1 V 0.000 0.000 0.500
V2 V 0.000 0.500 0.000
V3 V 0.500 0.000 0.000
In1 In 0.500 0.500 0.500
W1 W 0.000 0.000 0.000
```

## Properties
E_form = 1176 meV per atom
SG = No. 221
offset from the most stable computed form = 0.0 meV per atom
V = 98.7 Å³/cell
M_tot = 0.00 μB per cell



# 11
DFT (PBE-GGA) results for a relaxed Ga2CuPt6 crystal.

```
data_Ga2CuPt6
_chemical_formula_sum 'Ga4 Cu2 Pt12'
_space_group_name_H-M_alt 'P 1'
_space_group_IT_number 1
_cell_length_a 8.087
_cell_length_b 8.087
_cell_length_c 4.139
_cell_angle_alpha 90.00
_cell_angle_beta 90.00
_cell_angle_gamma 90.00
loop_
_space_group_symop_operation_xyz
'x,y,z'
loop_
_atom_site_label
_atom_site_type_symbol
_atom_site_fract_x
_atom_site_fract_y
_atom_site_fract_z
Ga1 Ga 0.187 0.187 0.000
Ga2 Ga 0.313 0.687 0.500
Ga3 Ga 0.687 0.313 0.500
Ga4 Ga 0.813 0.813 0.000
Cu1 Cu 0.000 0.000 0.500
Cu2 Cu 0.500 0.500 0.000
Pt1 Pt 0.010 0.326 0.500
Pt2 Pt 0.137 0.863 0.000
Pt3 Pt 0.174 0.510 0.000
Pt4 Pt 0.326 0.010 0.500
Pt5 Pt 0.363 0.363 0.500
Pt6 Pt 0.490 0.826 0.000
Pt7 Pt 0.510 0.174 0.000
Pt8 Pt 0.637 0.637 0.500
Pt9 Pt 0.674 0.990 0.500
Pt10 Pt 0.826 0.490 0.000
Pt11 Pt 0.863 0.137 0.000
Pt12 Pt 0.990 0.674 0.500
```

## Properties
E_form = -384 meV per atom
SG = No. 136
V = 270.7 Å³/cell
M_tot = 0.00 μB per cell